# SrCdHgCl6, optimized geometry, DFT PBE
data_SrCdHgCl6
_chemical_formula_sum 'Sr2 Cd2 Hg2 Cl12'
_symmetry_space_group_name_H-M 'P -3 1 c'
_symmetry_Int_Tables_number 163
_symmetry_space_group_name_Hall '-P 3 2c'
_cell_length_a 6.8533
_cell_length_b 6.8533
_cell_length_c 12.7696
_cell_angle_alpha 90.00
_cell_angle_beta 90.00
_cell_angle_gamma 120.00
loop_
_atom_site_label
_atom_site_type_symbol
_atom_site_fract_x
_atom_site_fract_y
_atom_site_fract_z
Sr1 Sr 0.0000 0.0000 0.0000
Cd1 Cd 0.3333 0.6667 0.2500
Hg1 Hg 0.3333 0.6667 0.7500
Cl1 Cl 0.0054 0.3566 0.1312
# Uncorrected energy: -52.4 eV/cell